DFT (PBE) results for NdErGe2 after structural relaxation.

Cell: 4.6524 4.6524 16.1514 Å, 90.00 90.00 120.00°
Space group R-3m (No. 166, hexagonal axes)
Asymmetric unit:
Nd1 0.0000 0.0000 0.0000
Er1 0.0000 0.0000 0.5000
Ge1 0.0000 0.0000 0.2414

Values from the calculation:
DFT formation energy (meV per atom): -679
VASP energy (eV per atom): -5.3202
Spin magnetization (μB per formula unit): 0.00
Density of states at the Fermi level (states/eV per cell): 7.57

=====

DFT (PBE) results for Ba4PrTmCu6O14 after structural relaxation.

Cell: 3.857 3.930 23.752 Å, 90.00 90.00 90.00°
Space group Pmmm (No. 47)
Asymmetric unit:
Ba1 0.000 0.000 0.158
Ba2 0.000 0.000 0.337
Pr1 0.000 0.000 0.500
Tm1 0.000 0.000 0.000
Cu1 0.500 0.500 0.072
Cu2 0.500 0.500 0.247
Cu3 0.500 0.500 0.422
O1 0.000 0.500 0.058
O2 0.000 0.500 0.435
O3 0.500 0.000 0.059
O4 0.500 0.000 0.247
O5 0.500 0.000 0.434
O6 0.500 0.500 0.168
O7 0.500 0.500 0.326

Values from the calculation:
VASP energy (eV per atom): -6.0573
Spin magnetization (μB per formula unit): 0.00
Formation energy without anion corrections (meV/atom): -1791
Density of states at the Fermi level (states/eV per cell): 9.35